(1)
Here is V3ZnGa after structural relaxation from Alexandria via LeMat-Bulk. Energies are from PBE.

The space group is Pm-3m (No. 221) and the conventional cell measures 4.4390, 4.4390 and 4.4390 Å, with angles of 90.00, 90.00 and 90.00 degrees. The distinct sites, in fractional coordinates, are V at (0.0000, 0.0000, 0.5000), Zn at (0.0000, 0.0000, 0.0000) and Ga at (0.5000, 0.5000, 0.5000).

For the excess energy over the best structure of this formula in the dataset, the calculation gives 1.1531 eV/atom. The formation energy from the elements comes out at 5.6 eV per formula unit.


(2)
Here is NaPd3O after structural relaxation from Alexandria via LeMat-Bulk. Energies are from PBE.

The space group is Pm-3m (No. 221) and the conventional cell measures 4.7444, 4.7444 and 4.7444 Å, with angles of 90.00, 90.00 and 90.00 degrees. The distinct sites, in fractional coordinates, are Na at (0.0000, 0.0000, 0.0000), Pd at (0.0000, 0.0000, 0.5000) and O at (0.5000, 0.5000, 0.5000).

For the excess energy over the best structure of this formula in the dataset, the calculation gives 1.6816 eV/atom.


(3)
Here is AcErAgHg after structural relaxation from Alexandria via LeMat-Bulk. Energies are from PBE.

The space group is F-43m (No. 216) and the conventional cell measures 7.6863, 7.6863 and 7.6863 Å, with angles of 90.00, 90.00 and 90.00 degrees. The distinct sites, in fractional coordinates, are Ac at (0.0000, 0.0000, 0.0000), Er at (0.0000, 0.0000, 0.5000), Ag at (0.2500, 0.2500, 0.7500) and Hg at (0.2500, 0.2500, 0.2500).

For the excess energy over the best structure of this formula in the dataset, the calculation gives 0.0344 eV/atom. The formation energy from the elements comes out at -1.3 eV per formula unit.


(4)
Here is Co3HgW after structural relaxation from Alexandria via LeMat-Bulk. Energies are from PBE.

The space group is Pm-3m (No. 221) and the conventional cell measures 4.4658, 4.4658 and 4.4658 Å, with angles of 90.00, 90.00 and 90.00 degrees. The distinct sites, in fractional coordinates, are Co at (0.0000, 0.0000, 0.5000), Hg at (0.5000, 0.5000, 0.5000) and W at (0.0000, 0.0000, 0.0000).

For the excess energy over the best structure of this formula in the dataset, the calculation gives 0.0000 eV/atom. The formation energy from the elements comes out at 7.0 eV per formula unit.


(5)
Here is SrSc2Fe after structural relaxation from Alexandria via LeMat-Bulk. Energies are from PBE.

The space group is Fd-3m (No. 227, origin choice 2) and the conventional cell measures 10.2496, 10.2496 and 10.2496 Å, with angles of 90.00, 90.00 and 90.00 degrees. The distinct sites, in fractional coordinates, are Sr at (0.1250, 0.1250, 0.1250), Sc at (0.0000, 0.0000, 0.5000) and Fe at (0.1250, 0.1250, 0.6250).

For the excess energy over the best structure of this formula in the dataset, the calculation gives 0.4297 eV/atom. The formation energy from the elements comes out at 2.1 eV per formula unit.


(6)
Here is LaHfTh2 after structural relaxation from Alexandria via LeMat-Bulk. Energies are from PBE.

The space group is R-3m (No. 166, hexagonal axes) and the conventional cell measures 3.4111, 3.4111 and 36.1785 Å, with angles of 90.00, 90.00 and 120.00 degrees. The distinct sites, in fractional coordinates, are La at (0.0000, 0.0000, 0.0000), Hf at (0.0000, 0.0000, 0.5000) and Th at (0.0000, 0.0000, 0.0912).

For the excess energy over the best structure of this formula in the dataset, the calculation gives 0.1183 eV/atom. The formation energy from the elements comes out at 0.9 eV per formula unit.


(7)
Here is Mg3CrAu after structural relaxation from Alexandria via LeMat-Bulk. Energies are from PBE.

The space group is Pm-3m (No. 221) and the conventional cell measures 5.0640, 5.0640 and 5.0640 Å, with angles of 90.00, 90.00 and 90.00 degrees. The distinct sites, in fractional coordinates, are Mg at (0.0000, 0.0000, 0.5000), Cr at (0.5000, 0.5000, 0.5000) and Au at (0.0000, 0.0000, 0.0000).

For the excess energy over the best structure of this formula in the dataset, the calculation gives 0.0000 eV/atom. The formation energy from the elements comes out at 1.6 eV per formula unit.


(8)
Here is CaCu2Pb after structural relaxation from Alexandria via LeMat-Bulk. Energies are from PBE.

The space group is Pmm2 (No. 25) and the conventional cell measures 3.3602, 3.4434 and 7.2836 Å, with angles of 90.00, 90.00 and 90.00 degrees. The distinct sites, in fractional coordinates, are Ca at (0.0000, 0.0000, 0.0000), Cu at (0.0000, 0.0000, 0.5945), Cu at (0.5000, 0.5000, 0.7325) and Pb at (0.5000, 0.5000, 0.3490).

The formation energy from the elements comes out at 0.1 eV per formula unit.


(9)
Here is Pm4PrPd4 after structural relaxation from Alexandria via LeMat-Bulk. Energies are from PBE.

The space group is P4_2/n (No. 86, origin choice 2) and the conventional cell measures 9.1877, 9.1877 and 5.9629 Å, with angles of 90.00, 90.00 and 90.00 degrees. The distinct sites, in fractional coordinates, are Pm at (0.0684, 0.6574, 0.1626), Pr at (0.2500, 0.2500, 0.2500) and Pd at (0.0358, 0.6260, 0.6564).

The formation energy from the elements comes out at -5.4 eV per formula unit.


(10)
Here is NaMgNb after structural relaxation from Alexandria via LeMat-Bulk. Energies are from PBE.

The space group is P6_3/mmc (No. 194) and the conventional cell measures 4.8413, 4.8413 and 11.2818 Å, with angles of 90.00, 90.00 and 120.00 degrees. The distinct sites, in fractional coordinates, are Na at (0.3333, 0.6667, 0.2500), Mg at (0.0000, 0.0000, 0.2500) and Nb at (0.0000, 0.0000, 0.0000).

For the excess energy over the best structure of this formula in the dataset, the calculation gives 1.7666 eV/atom. The formation energy from the elements comes out at 5.8 eV per formula unit.


(11)
Here is LiMgTlCl6 after structural relaxation from Alexandria via LeMat-Bulk. Energies are from PBE.

The space group is P-31c (No. 163) and the conventional cell measures 6.5072, 6.5072 and 11.8903 Å, with angles of 90.00, 90.00 and 120.00 degrees. The distinct sites, in fractional coordinates, are Li at (0.0000, 0.0000, 0.0000), Mg at (0.3333, 0.6667, 0.2500), Tl at (0.3333, 0.6667, 0.7500) and Cl at (0.0134, 0.3511, 0.1279).

The total energy comes out at -0.1165 hartree per atom.


(12)
Here is AsPbWBr2 after structural relaxation from Alexandria via LeMat-Bulk. Energies are from PBE.

The space group is P4/mmm (No. 123) and the conventional cell measures 5.2558, 5.2558 and 4.9488 Å, with angles of 90.00, 90.00 and 90.00 degrees. The distinct sites, in fractional coordinates, are As at (0.0000, 0.0000, 0.0000), Pb at (0.5000, 0.5000, 0.0000), W at (0.0000, 0.0000, 0.5000) and Br at (0.0000, 0.5000, 0.5000).

For the excess energy over the best structure of this formula in the dataset, the calculation gives 0.0000 eV/atom.


(13)
Here is Sm3ThTe4 after structural relaxation from Alexandria via LeMat-Bulk. Energies are from PBE.

The space group is P6_3/mmc (No. 194) and the conventional cell measures 4.3316, 4.3316 and 30.6400 Å, with angles of 90.00, 90.00 and 120.00 degrees. The distinct sites, in fractional coordinates, are Sm at (0.0000, 0.0000, 0.0000), Sm at (0.3333, 0.6667, 0.1231), Th at (0.3333, 0.6667, 0.7500), Te at (0.0000, 0.0000, 0.1851) and Te at (0.3333, 0.6667, 0.5616).

The total energy comes out at -0.2039 hartree per atom.


(14)
Here is CuIr2W after structural relaxation from Alexandria via LeMat-Bulk. Energies are from PBE.

The space group is Pmm2 (No. 25) and the conventional cell measures 2.7497, 3.9315 and 5.3310 Å, with angles of 90.00, 90.00 and 90.00 degrees. The distinct sites, in fractional coordinates, are Cu at (0.0000, 0.0000, 0.0000), Ir at (0.0000, 0.0000, 0.5032), Ir at (0.5000, 0.5000, 0.2141) and W at (0.5000, 0.5000, 0.7440).

For the excess energy over the best structure of this formula in the dataset, the calculation gives 0.1265 eV/atom. The formation energy from the elements comes out at -0.1 eV per formula unit.


(15)
Here is Pa2NiGe after structural relaxation from Alexandria via LeMat-Bulk. Energies are from PBE.

The space group is P4/mmm (No. 123) and the conventional cell measures 3.6427, 3.6427 and 6.1068 Å, with angles of 90.00, 90.00 and 90.00 degrees. The distinct sites, in fractional coordinates, are Pa at (0.0000, 0.0000, 0.2442), Ni at (0.5000, 0.5000, 0.0000) and Ge at (0.5000, 0.5000, 0.5000).

For the excess energy over the best structure of this formula in the dataset, the calculation gives 0.1712 eV/atom. The formation energy from the elements comes out at -1.0 eV per formula unit.


(16)
Here is Be5C after structural relaxation from Alexandria via LeMat-Bulk. Energies are from PBE.

The space group is Amm2 (No. 38) and the conventional cell measures 2.9908, 2.8472 and 11.1296 Å, with angles of 90.00, 90.00 and 90.00 degrees. The distinct sites, in fractional coordinates, are Be at (0.0000, 0.0000, 0.0000), Be at (0.0000, 0.0000, 0.3007), Be at (0.0000, 0.0000, 0.6434), Be at (0.5000, 0.0000, 0.1580), Be at (0.5000, 0.0000, 0.8368) and C at (0.5000, 0.0000, 0.5554).

For the excess energy over the best structure of this formula in the dataset, the calculation gives 0.1433 eV/atom. The formation energy from the elements comes out at 2.6 eV per formula unit.


(17)
Here is TiMnSi2 after structural relaxation from Alexandria via LeMat-Bulk. Energies are from PBE.

The space group is Pbam (No. 55) and the conventional cell measures 8.6489, 9.4766 and 7.7141 Å, with angles of 90.00, 90.00 and 90.00 degrees. The distinct sites, in fractional coordinates, are Ti at (0.1685, 0.1793, 0.0000), Ti at (0.1720, 0.4529, 0.2401), Mn at (0.0000, 0.0000, 0.2437), Mn at (0.0841, 0.7468, 0.2475), Si at (0.0379, 0.6204, 0.0000), Si at (0.0375, 0.6239, 0.5000), Si at (0.1244, 0.9023, 0.5000), Si at (0.1295, 0.8965, 0.0000) and Si at (0.1684, 0.1825, 0.3460).

The total energy comes out at -0.2801 hartree per atom.


(18)
Here is TbPmTlCd after structural relaxation from Alexandria via LeMat-Bulk. Energies are from PBE.

The space group is F-43m (No. 216) and the conventional cell measures 7.6447, 7.6447 and 7.6447 Å, with angles of 90.00, 90.00 and 90.00 degrees. The distinct sites, in fractional coordinates, are Tb at (0.0000, 0.0000, 0.0000), Pm at (0.0000, 0.0000, 0.5000), Tl at (0.2500, 0.2500, 0.7500) and Cd at (0.2500, 0.2500, 0.2500).

The formation energy from the elements comes out at -1.4 eV per formula unit.


(19)
Here is Li3AcSb3 after structural relaxation from Alexandria via LeMat-Bulk. Energies are from PBE.

The space group is Pm-3n (No. 223) and the conventional cell measures 7.1761, 7.1761 and 7.1761 Å, with angles of 90.00, 90.00 and 90.00 degrees. The distinct sites, in fractional coordinates, are Li at (0.0000, 0.2500, 0.5000), Ac at (0.0000, 0.0000, 0.0000) and Sb at (0.0000, 0.5000, 0.2500).

For the excess energy over the best structure of this formula in the dataset, the calculation gives 0.1883 eV/atom.